[1]
Sr3Li2Zn9 | PBE-GGA | optimized geometry

```
data_Sr3Li2Zn9
_chemical_formula_sum 'Sr6 Li4 Zn18'
_cell_length_a 4.5238
_cell_length_b 9.3653
_cell_length_c 14.0550
_cell_angle_alpha 90.00
_cell_angle_beta 90.00
_cell_angle_gamma 90.00
_space_group_name_H-M_alt 'I m m m'
_space_group_IT_number 71
_space_group_name_Hall '-I 2 2'
loop_
_atom_site_label
_atom_site_type_symbol
_atom_site_fract_x
_atom_site_fract_y
_atom_site_fract_z
Sr1 Sr 0.0000 0.0000 0.0000
Sr2 Sr 0.0000 0.0000 0.2923
Li1 Li 0.0000 0.1882 0.5000
Zn1 Zn 0.0000 0.2879 0.1275
Zn2 Zn 0.0000 0.3517 0.3371
Zn3 Zn 0.0000 0.5000 0.0000
```

Output
**E_tot**: -0.061 Ha/atom
**DFT formation energy**: -0.207 eV per atom

---

[2]
SrLi2Zn | PBE-GGA | optimized geometry

```
data_SrLi2Zn
_chemical_formula_sum 'Sr2 Li4 Zn2'
_cell_length_a 6.2768
_cell_length_b 10.9999
_cell_length_c 3.8775
_cell_angle_alpha 90.00
_cell_angle_beta 124.65
_cell_angle_gamma 90.00
_space_group_name_H-M_alt 'C 1 2/m 1'
_space_group_IT_number 12
_space_group_name_Hall '-C 2y'
loop_
_atom_site_label
_atom_site_type_symbol
_atom_site_fract_x
_atom_site_fract_y
_atom_site_fract_z
Sr1 Sr 0.0000 0.0000 0.0000
Li1 Li 0.2500 0.2500 0.5000
Zn1 Zn 0.0000 0.5000 0.0000
```

Output
**E_tot**: -0.059 Ha/atom
**DFT formation energy**: 0.103 eV per atom

---

[3]
Sr2Li3Zn6 | PBE-GGA | optimized geometry

```
data_Sr2Li3Zn6
_chemical_formula_sum 'Sr4 Li6 Zn12'
_cell_length_a 8.3799
_cell_length_b 12.5660
_cell_length_c 4.5595
_cell_angle_alpha 90.00
_cell_angle_beta 90.00
_cell_angle_gamma 90.00
_space_group_name_H-M_alt 'C m m m'
_space_group_IT_number 65
_space_group_name_Hall '-C 2 2'
loop_
_atom_site_label
_atom_site_type_symbol
_atom_site_fract_x
_atom_site_fract_y
_atom_site_fract_z
Sr1 Sr 0.0000 0.1805 0.0000
Li1 Li 0.0000 0.5000 0.5000
Li2 Li 0.1735 0.5000 0.0000
Zn1 Zn 0.1503 0.0000 0.5000
Zn2 Zn 0.1639 0.3350 0.5000
```

Output
**E_tot**: -0.061 Ha/atom
**DFT formation energy**: -0.151 eV per atom

---

[4]
Sr3LiZn8 | PBE-GGA | optimized geometry

```
data_Sr3LiZn8
_chemical_formula_sum 'Sr9 Li3 Zn24'
_cell_length_a 5.6227
_cell_length_b 5.6227
_cell_length_c 28.3612
_cell_angle_alpha 90.00
_cell_angle_beta 90.00
_cell_angle_gamma 120.00
_space_group_name_H-M_alt 'R 3 m'
_space_group_IT_number 160
_space_group_name_Hall 'R 3 -2"'
loop_
_atom_site_label
_atom_site_type_symbol
_atom_site_fract_x
_atom_site_fract_y
_atom_site_fract_z
Sr1 Sr 0.0000 0.0000 0.0000
Sr2 Sr 0.0000 0.0000 0.1270
Sr3 Sr 0.0000 0.0000 0.5110
Li1 Li 0.0000 0.0000 0.6308
Zn1 Zn 0.0000 0.0000 0.3135
Zn2 Zn 0.0000 0.0000 0.8211
Zn3 Zn 0.1681 0.3363 0.3975
Zn4 Zn 0.1678 0.3356 0.9021
```

Output
**E_tot**: -0.058 Ha/atom
**DFT formation energy**: -0.161 eV per atom

---

[5]
Sr3Li2Zn2 | PBE-GGA | optimized geometry

```
data_Sr3Li2Zn2
_chemical_formula_sum 'Sr6 Li4 Zn4'
_cell_length_a 4.4243
_cell_length_b 4.8834
_cell_length_c 20.8834
_cell_angle_alpha 90.00
_cell_angle_beta 90.00
_cell_angle_gamma 90.00
_space_group_name_H-M_alt 'I m m m'
_space_group_IT_number 71
_space_group_name_Hall '-I 2 2'
loop_
_atom_site_label
_atom_site_type_symbol
_atom_site_fract_x
_atom_site_fract_y
_atom_site_fract_z
Sr1 Sr 0.0000 0.0000 0.0000
Sr2 Sr 0.0000 0.5000 0.1827
Li1 Li 0.0000 0.5000 0.3709
Zn1 Zn 0.0000 0.0000 0.4379
```

Output
**E_tot**: -0.064 Ha/atom
**DFT formation energy**: -0.097 eV per atom

---

[6]
Sr2Li17Zn3 | PBE-GGA | optimized geometry

```
data_Sr2Li17Zn3
_chemical_formula_sum 'Sr6 Li51 Zn9'
_cell_length_a 10.7627
_cell_length_b 10.7627
_cell_length_c 15.2553
_cell_angle_alpha 90.00
_cell_angle_beta 90.00
_cell_angle_gamma 120.00
_space_group_name_H-M_alt 'R -3 m'
_space_group_IT_number 166
_space_group_name_Hall '-R 3 2"'
loop_
_atom_site_label
_atom_site_type_symbol
_atom_site_fract_x
_atom_site_fract_y
_atom_site_fract_z
Sr1 Sr 0.0000 0.0000 0.1640
Li1 Li 0.0000 0.0000 0.4051
Li2 Li 0.0000 0.2632 0.5000
Li3 Li 0.0000 0.5000 0.0000
Li4 Li 0.0091 0.5045 0.6716
Zn1 Zn 0.0000 0.5000 0.5000
```

Output
**E_tot**: -0.066 Ha/atom
**DFT formation energy**: 0.019 eV per atom

---

[7]
SrLi2Zn2 | PBE-GGA | optimized geometry

```
data_SrLi2Zn2
_chemical_formula_sum 'Sr2 Li4 Zn4'
_cell_length_a 8.0767
_cell_length_b 8.0767
_cell_length_c 3.5155
_cell_angle_alpha 90.00
_cell_angle_beta 90.00
_cell_angle_gamma 90.00
_space_group_name_H-M_alt 'P 4/m b m'
_space_group_IT_number 127
_space_group_name_Hall '-P 4 2ab'
loop_
_atom_site_label
_atom_site_type_symbol
_atom_site_fract_x
_atom_site_fract_y
_atom_site_fract_z
Sr1 Sr 0.0000 0.0000 0.0000
Li1 Li 0.1638 0.3362 0.5000
Zn1 Zn 0.1141 0.6141 0.0000
```

Output
**Relative energy among the computed polymorphs**: 116.5 meV/atom
**E_tot**: -0.060 Ha/atom
**DFT formation energy**: -0.024 eV per atom

---

[8]
SrLi2Zn | PBE-GGA | optimized geometry

```
data_SrLi2Zn
_chemical_formula_sum 'Sr4 Li8 Zn4'
_cell_length_a 4.5759
_cell_length_b 4.5759
_cell_length_c 20.9931
_cell_angle_alpha 90.00
_cell_angle_beta 90.00
_cell_angle_gamma 90.00
_space_group_name_H-M_alt 'I -4 2 d'
_space_group_IT_number 122
_space_group_name_Hall 'I -4 2bw'
loop_
_atom_site_label
_atom_site_type_symbol
_atom_site_fract_x
_atom_site_fract_y
_atom_site_fract_z
Sr1 Sr 0.0000 0.0000 0.0000
Li1 Li 0.1469 0.7500 0.6250
Zn1 Zn 0.0000 0.0000 0.5000
```

Output
**E_tot**: -0.060 Ha/atom
**DFT formation energy**: 0.067 eV per atom

---

[9]
Sr3Li6Zn2 | PBE-GGA | optimized geometry

```
data_Sr3Li6Zn2
_chemical_formula_sum 'Sr6 Li12 Zn4'
_cell_length_a 4.6687
_cell_length_b 4.6687
_cell_length_c 28.4447
_cell_angle_alpha 90.00
_cell_angle_beta 90.00
_cell_angle_gamma 90.00
_space_group_name_H-M_alt 'I 4/m m m'
_space_group_IT_number 139
_space_group_name_Hall '-I 4 2'
loop_
_atom_site_label
_atom_site_type_symbol
_atom_site_fract_x
_atom_site_fract_y
_atom_site_fract_z
Sr1 Sr 0.0000 0.0000 0.0000
Sr2 Sr 0.0000 0.0000 0.2029
Li1 Li 0.0000 0.0000 0.3458
Li2 Li 0.0000 0.5000 0.0962
Zn1 Zn 0.0000 0.0000 0.4544
```

Output
**E_tot**: -0.065 Ha/atom
**DFT formation energy**: -0.042 eV per atom

---

[10]
SrLi2Zn | PBE-GGA | optimized geometry

```
data_SrLi2Zn
_chemical_formula_sum 'Sr1 Li2 Zn1'
_cell_length_a 3.9417
_cell_length_b 4.9274
_cell_length_c 5.6031
_cell_angle_alpha 90.00
_cell_angle_beta 98.88
_cell_angle_gamma 90.00
_space_group_name_H-M_alt 'P 1 2/m 1'
_space_group_IT_number 10
_space_group_name_Hall '-P 2y'
loop_
_atom_site_label
_atom_site_type_symbol
_atom_site_fract_x
_atom_site_fract_y
_atom_site_fract_z
Sr1 Sr 0.0000 0.0000 0.0000
Li1 Li 0.3257 0.5000 0.6865
Zn1 Zn 0.5000 0.0000 0.5000
```

Output
**E_tot**: -0.062 Ha/atom
**DFT formation energy**: 0.005 eV per atom

---

[11]
SrLi2Zn | PBE-GGA | optimized geometry

```
data_SrLi2Zn
_chemical_formula_sum 'Sr2 Li4 Zn2'
_cell_length_a 3.7860
_cell_length_b 5.4712
_cell_length_c 10.0119
_cell_angle_alpha 90.00
_cell_angle_beta 90.00
_cell_angle_gamma 90.00
_space_group_name_H-M_alt 'I m m m'
_space_group_IT_number 71
_space_group_name_Hall '-I 2 2'
loop_
_atom_site_label
_atom_site_type_symbol
_atom_site_fract_x
_atom_site_fract_y
_atom_site_fract_z
Sr1 Sr 0.0000 0.0000 0.0000
Li1 Li 0.0000 0.5000 0.2031
Zn1 Zn 0.0000 0.0000 0.5000
```

Output
**E_tot**: -0.063 Ha/atom
**DFT formation energy**: -0.023 eV per atom

---

[12]
Sr5LiZn | PBE-GGA | optimized geometry

```
data_Sr5LiZn
_chemical_formula_sum 'Sr20 Li4 Zn4'
_cell_length_a 13.5314
_cell_length_b 7.9555
_cell_length_c 12.9419
_cell_angle_alpha 90.00
_cell_angle_beta 110.87
_cell_angle_gamma 90.00
_space_group_name_H-M_alt 'C 1 2/c 1'
_space_group_IT_number 15
_space_group_name_Hall '-C 2yc'
loop_
_atom_site_label
_atom_site_type_symbol
_atom_site_fract_x
_atom_site_fract_y
_atom_site_fract_z
Sr1 Sr 0.0000 0.0413 0.2500
Sr2 Sr 0.1213 0.3379 0.0268
Sr3 Sr 0.2173 0.1735 0.6389
Li1 Li 0.0000 0.4780 0.7500
Zn1 Zn 0.0000 0.0000 0.0000
```

Output
**E_tot**: -0.059 Ha/atom
**DFT formation energy**: 0.046 eV per atom